(1)
DFT (GGA-PBE) results for crystalline NaAgPbS2 at its relaxed geometry.

Properties
The calculated volume is 258 Å³ per cell. For the raw formation energy, the calculation gives -0.5208 eV per atom.

abc: 7.0088 4.9273 7.6020
angles: 90.00 101.17 90.00
With the nearest neighbours (Å) after each atom.
Positions (direct):
1 Na 0.0000 0.0087 0.2500  4 S 2.91-2.92, 4 Ag 3.08-3.15
2 Na 0.0000 0.9913 0.7500  4 S 2.91-2.92, 4 Ag 3.08-3.15
3 Ag 0.0000 0.5000 0.0000  2 S 2.35
4 Ag 0.0000 0.5000 0.5000  2 S 2.35
5 Pb 0.5000 0.3581 0.7500  4 S 2.85-3.05
6 Pb 0.5000 0.6419 0.2500  4 S 2.85-3.05
7 S 0.2784 0.2234 0.0472  1 Ag 2.35
8 S 0.2784 0.7766 0.5472  1 Ag 2.35
9 S 0.7216 0.2234 0.4528  1 Ag 2.35
10 S 0.7216 0.7766 0.9528  1 Ag 2.35

=====

(2)
DFT (GGA-PBE) results for crystalline NaAg2Sb2Pb2 at its relaxed geometry.

Properties
The density of states at the Fermi level is 2.81 states/eV/f.u. The calculated volume is 199 Å³ per cell. For the raw formation energy, the calculation gives -0.0339 eV per atom.

abc: 10.6981 10.6981 10.6981
angles: 25.44 25.44 25.44
With the nearest neighbours (Å) after each atom.
Positions (direct):
1 Na 0.0000 0.0000 0.0000  6 Sb 3.33, 6 Ag 3.69
2 Ag 0.4137 0.4137 0.4137  3 Sb 2.78, 3 Pb 3.11
3 Ag 0.5863 0.5863 0.5863  3 Sb 2.78, 3 Pb 3.11
4 Sb 0.2713 0.2713 0.2713  3 Ag 2.78
5 Sb 0.7287 0.7287 0.7287  3 Ag 2.78
6 Pb 0.1289 0.1289 0.1289  3 Ag 3.11, 3 Sb 3.42
7 Pb 0.8711 0.8711 0.8711  3 Ag 3.11, 3 Sb 3.42

=====

(3)
DFT (GGA-PBE) results for crystalline NaAgSbPb2 at its relaxed geometry.

Properties
The density of states at the Fermi level is 3.30 states/eV/f.u. The calculated volume is 201 Å³ per cell. For the raw formation energy, the calculation gives 0.4797 eV per atom.

abc: 5.9806 5.9806 5.6123
angles: 90.00 90.00 90.00
With the nearest neighbours (Å) after each atom.
Positions (direct):
1 Na 0.0000 0.0000 0.0000  2 Sb 2.81
2 Ag 0.5000 0.5000 0.0000  8 Pb 4.10, 4 Na 4.23
3 Sb 0.0000 0.0000 0.5000  2 Na 2.81, 4 Pb 2.99
4 Pb 0.0000 0.5000 0.5000  2 Sb 2.99
5 Pb 0.5000 0.0000 0.5000  2 Sb 2.99

=====

(4)
DFT (GGA-PBE) results for crystalline NaScAgPb at its relaxed geometry.

Properties
The density of states at the Fermi level is 2.40 states/eV/f.u. The calculated volume is 366 Å³ per cell. The value obtained for the energy relative to the elements is -0.17 eV/atom.

abc: 7.1531 7.1531 7.1531
angles: 90.00 90.00 90.00
With the nearest neighbours (Å) after each atom.
Positions (direct):
1 Na 0.0000 0.0000 0.0000  4 Pb 3.10, 4 Ag 3.10
2 Na 0.0000 0.5000 0.5000  4 Pb 3.10, 4 Ag 3.10
3 Na 0.5000 0.0000 0.5000  4 Pb 3.10, 4 Ag 3.10
4 Na 0.5000 0.5000 0.0000  4 Pb 3.10, 4 Ag 3.10
5 Sc 0.0000 0.0000 0.5000  4 Pb 3.10, 4 Ag 3.10
6 Sc 0.0000 0.5000 0.0000  4 Pb 3.10, 4 Ag 3.10
7 Sc 0.5000 0.0000 0.0000  4 Pb 3.10, 4 Ag 3.10
8 Sc 0.5000 0.5000 0.5000  4 Pb 3.10, 4 Ag 3.10
9 Ag 0.2500 0.2500 0.7500  4 Na 3.10, 4 Sc 3.10
10 Ag 0.2500 0.7500 0.2500  4 Na 3.10, 4 Sc 3.10
11 Ag 0.7500 0.2500 0.2500  4 Na 3.10, 4 Sc 3.10
12 Ag 0.7500 0.7500 0.7500  4 Na 3.10, 4 Sc 3.10
13 Pb 0.2500 0.2500 0.2500  4 Na 3.10, 4 Sc 3.10
14 Pb 0.2500 0.7500 0.7500  4 Na 3.10, 4 Sc 3.10
15 Pb 0.7500 0.2500 0.7500  4 Na 3.10, 4 Sc 3.10
16 Pb 0.7500 0.7500 0.2500  4 Na 3.10, 4 Sc 3.10

=====

(5)
DFT (GGA-PBE) results for crystalline Na2AgSnPb at its relaxed geometry.

Properties
The density of states at the Fermi level is 4.62 states/eV/f.u. The calculated volume is 174 Å³ per cell. The value obtained for the energy relative to the elements is 0.42 eV/atom.

abc: 5.7340 5.7340 5.2968
angles: 90.00 90.00 90.00
With the nearest neighbours (Å) after each atom.
Positions (direct):
1 Na 0.0000 0.5000 0.0000  2 Pb 2.87
2 Na 0.5000 0.0000 0.0000  2 Pb 2.87
3 Ag 0.0000 0.0000 0.5000  2 Pb 2.65
4 Sn 0.5000 0.5000 0.5000  8 Na 3.90, 4 Ag 4.05
5 Pb 0.0000 0.0000 0.0000  2 Ag 2.65, 4 Na 2.87

=====

(6)
DFT (GGA-PBE) results for crystalline Na2SrAgPb at its relaxed geometry.

Properties
The density of states at the Fermi level is 4.57 states/eV/f.u. The calculated volume is 181 Å³ per cell. The value obtained for the energy relative to the elements is 0.04 eV/atom.

abc: 5.4135 5.4135 6.1812
angles: 90.00 90.00 90.00
With the nearest neighbours (Å) after each atom.
Positions (direct):
1 Na 0.0000 0.5000 0.0000  2 Ag 2.71
2 Na 0.5000 0.0000 0.0000  2 Ag 2.71
3 Sr 0.0000 0.0000 0.5000  2 Ag 3.09
4 Ag 0.0000 0.0000 0.0000  4 Na 2.71
5 Pb 0.5000 0.5000 0.5000  4 Sr 3.83, 8 Na 4.11

=====

(7)
DFT (GGA-PBE) results for crystalline NaSrAgPb at its relaxed geometry.

Properties
The density of states at the Fermi level is 0.77 states/eV/f.u. The calculated volume is 427 Å³ per cell. The value obtained for the energy relative to the elements is -0.25 eV/atom.

abc: 7.5293 7.5293 7.5293
angles: 90.00 90.00 90.00
With the nearest neighbours (Å) after each atom.
Positions (direct):
1 Na 0.0000 0.0000 0.0000  4 Pb 3.26, 4 Sr 3.26
2 Na 0.0000 0.5000 0.5000  4 Pb 3.26, 4 Sr 3.26
3 Na 0.5000 0.0000 0.5000  4 Pb 3.26, 4 Sr 3.26
4 Na 0.5000 0.5000 0.0000  4 Pb 3.26, 4 Sr 3.26
5 Sr 0.2500 0.2500 0.7500  4 Na 3.26, 4 Ag 3.26
6 Sr 0.2500 0.7500 0.2500  4 Na 3.26, 4 Ag 3.26
7 Sr 0.7500 0.2500 0.2500  4 Na 3.26, 4 Ag 3.26
8 Sr 0.7500 0.7500 0.7500  4 Na 3.26, 4 Ag 3.26
9 Ag 0.0000 0.0000 0.5000  4 Sr 3.26, 4 Pb 3.26
10 Ag 0.0000 0.5000 0.0000  4 Sr 3.26, 4 Pb 3.26
11 Ag 0.5000 0.0000 0.0000  4 Sr 3.26, 4 Pb 3.26
12 Ag 0.5000 0.5000 0.5000  4 Sr 3.26, 4 Pb 3.26
13 Pb 0.2500 0.2500 0.2500  4 Ag 3.26, 4 Na 3.26
14 Pb 0.2500 0.7500 0.7500  4 Na 3.26, 4 Ag 3.26
15 Pb 0.7500 0.2500 0.7500  4 Na 3.26, 4 Ag 3.26
16 Pb 0.7500 0.7500 0.2500  4 Na 3.26, 4 Ag 3.26

=====

(8)
DFT (GGA-PBE) results for crystalline NaTl2AgPb at its relaxed geometry.

Properties
The density of states at the Fermi level is 1.72 states/eV/f.u. The calculated volume is 197 Å³ per cell. The value obtained for the energy relative to the elements is 0.29 eV/atom.

abc: 6.0490 6.0490 5.3892
angles: 90.00 90.00 90.00
With the nearest neighbours (Å) after each atom.
Positions (direct):
1 Na 0.0000 0.0000 0.0000  8 Tl 4.05, 4 Ag 4.28
2 Tl 0.0000 0.5000 0.5000  2 Pb 3.02
3 Tl 0.5000 0.0000 0.5000  2 Pb 3.02
4 Ag 0.5000 0.5000 0.0000  2 Pb 2.69
5 Pb 0.5000 0.5000 0.5000  2 Ag 2.69

=====

(9)
DFT (GGA-PBE) results for crystalline NaTlAgPb at its relaxed geometry.

Properties
The density of states at the Fermi level is 2.56 states/eV/f.u. The calculated volume is 403 Å³ per cell. The value obtained for the energy relative to the elements is -0.01 eV/atom.

abc: 7.3871 7.3871 7.3871
angles: 90.00 90.00 90.00
With the nearest neighbours (Å) after each atom.
Positions (direct):
1 Na 0.0000 0.0000 0.0000  4 Tl 3.20, 4 Pb 3.20
2 Na 0.0000 0.5000 0.5000  4 Tl 3.20, 4 Pb 3.20
3 Na 0.5000 0.0000 0.5000  4 Tl 3.20, 4 Pb 3.20
4 Na 0.5000 0.5000 0.0000  4 Tl 3.20, 4 Pb 3.20
5 Tl 0.2500 0.2500 0.7500  4 Ag 3.20, 4 Na 3.20
6 Tl 0.2500 0.7500 0.2500  4 Ag 3.20, 4 Na 3.20
7 Tl 0.7500 0.2500 0.2500  4 Ag 3.20, 4 Na 3.20
8 Tl 0.7500 0.7500 0.7500  4 Ag 3.20, 4 Na 3.20
9 Ag 0.0000 0.0000 0.5000  4 Pb 3.20, 4 Tl 3.20
10 Ag 0.0000 0.5000 0.0000  4 Pb 3.20, 4 Tl 3.20
11 Ag 0.5000 0.0000 0.0000  4 Pb 3.20, 4 Tl 3.20
12 Ag 0.5000 0.5000 0.5000  4 Pb 3.20, 4 Tl 3.20
13 Pb 0.2500 0.2500 0.2500  4 Na 3.20, 4 Ag 3.20
14 Pb 0.2500 0.7500 0.7500  4 Na 3.20, 4 Ag 3.20
15 Pb 0.7500 0.2500 0.7500  4 Na 3.20, 4 Ag 3.20
16 Pb 0.7500 0.7500 0.2500  4 Na 3.20, 4 Ag 3.20

=====

(10)
DFT (GGA-PBE) results for crystalline NaYAgPb at its relaxed geometry.

Properties
The density of states at the Fermi level is 2.37 states/eV/f.u. The calculated volume is 403 Å³ per cell. The value obtained for the energy relative to the elements is -0.25 eV/atom.

abc: 7.3887 7.3887 7.3887
angles: 90.00 90.00 90.00
With the nearest neighbours (Å) after each atom.
Positions (direct):
1 Na 0.0000 0.0000 0.0000  4 Ag 3.20, 4 Pb 3.20
2 Na 0.0000 0.5000 0.5000  4 Ag 3.20, 4 Pb 3.20
3 Na 0.5000 0.0000 0.5000  4 Ag 3.20, 4 Pb 3.20
4 Na 0.5000 0.5000 0.0000  4 Ag 3.20, 4 Pb 3.20
5 Y 0.0000 0.0000 0.5000  4 Pb 3.20, 4 Ag 3.20
6 Y 0.0000 0.5000 0.0000  4 Pb 3.20, 4 Ag 3.20
7 Y 0.5000 0.0000 0.0000  4 Pb 3.20, 4 Ag 3.20
8 Y 0.5000 0.5000 0.5000  4 Pb 3.20, 4 Ag 3.20
9 Ag 0.2500 0.2500 0.2500  4 Na 3.20, 4 Y 3.20
10 Ag 0.2500 0.7500 0.7500  4 Na 3.20, 4 Y 3.20
11 Ag 0.7500 0.2500 0.7500  4 Na 3.20, 4 Y 3.20
12 Ag 0.7500 0.7500 0.2500  4 Na 3.20, 4 Y 3.20
13 Pb 0.2500 0.2500 0.7500  4 Na 3.20, 4 Y 3.20
14 Pb 0.2500 0.7500 0.2500  4 Na 3.20, 4 Y 3.20
15 Pb 0.7500 0.2500 0.2500  4 Na 3.20, 4 Y 3.20
16 Pb 0.7500 0.7500 0.7500  4 Na 3.20, 4 Y 3.20